No. 1
Computed, not measured: an optimized crystal structure of Rb2ZnGeBr6 at the PBE level of DFT.

Lattice parameters (Å, degrees): 10.8850 10.8850 10.8850 90.00 90.00 90.00
Closest atoms and distances in Å follow each position.
Space group Fm-3m (No. 225)
Inequivalent atoms, fractional coordinates:
1 Rb 0.2500 0.2500 0.2500 (multiplicity 8)  12 Br 3.85
2 Zn 0.0000 0.0000 0.0000 (multiplicity 4)  6 Br 2.65
3 Ge 0.0000 0.0000 0.5000 (multiplicity 4)  6 Br 2.79
4 Br 0.0000 0.0000 0.2438 (multiplicity 24)  1 Zn 2.65, 1 Ge 2.79

Summary:
* E_form (uncorrected): -1095 meV/atom
* relative energy among the computed polymorphs: 0.42 eV/f.u.
* uncorrected energy: -2.881 eV per atom

No. 2
Computed, not measured: an optimized crystal structure of Rb2ZnGeBr6 at the PBE level of DFT.

Lattice parameters (Å, degrees): 7.8461 7.8461 23.7746 90.00 90.00 120.00
Closest atoms and distances in Å follow each position.
Space group R3 (No. 146, hexagonal axes)
Inequivalent atoms, fractional coordinates:
1 Rb 0.0000 0.0000 0.0000 (multiplicity 3)  6 Br 3.53
2 Rb 0.0000 0.0000 0.4916 (multiplicity 3)  6 Br 3.53-3.60
3 Zn 0.0000 0.0000 0.2657 (multiplicity 3)  3 Br 2.35
4 Ge 0.0000 0.0000 0.7184 (multiplicity 3)  3 Br 2.55
5 Br 0.0049 0.4104 0.9375 (multiplicity 9)  1 Zn 2.35
6 Br 0.0217 0.5917 0.4382 (multiplicity 9)  1 Ge 2.55

Summary:
* E_form (uncorrected): -1137 meV/atom
* relative energy among the computed polymorphs: 0.00 eV/f.u.
* uncorrected energy: -2.923 eV per atom

No. 3
Computed, not measured: an optimized crystal structure of Re3GeBr at the PBE level of DFT.

Lattice parameters (Å, degrees): 4.6338 4.6338 4.6338 90.00 90.00 90.00
Closest atoms and distances in Å follow each position.
Space group Pm-3m (No. 221)
Inequivalent atoms, fractional coordinates:
1 Re 0.0000 0.0000 0.5000 (multiplicity 3)  2 Ge 2.32
2 Ge 0.0000 0.0000 0.0000 (multiplicity 1)  6 Re 2.32
3 Br 0.5000 0.5000 0.5000 (multiplicity 1)  12 Re 3.28

Summary:
* E_form (uncorrected): 2319 meV/atom
* relative energy among the computed polymorphs: 0.00 eV/f.u.
* uncorrected energy: -6.407 eV per atom

No. 4
Computed, not measured: an optimized crystal structure of ReGeBr3 at the PBE level of DFT.

Lattice parameters (Å, degrees): 5.1410 5.1410 5.1410 90.00 90.00 90.00
Closest atoms and distances in Å follow each position.
Space group Pm-3m (No. 221)
Inequivalent atoms, fractional coordinates:
1 Re 0.0000 0.0000 0.0000 (multiplicity 1)  6 Br 2.57
2 Ge 0.5000 0.5000 0.5000 (multiplicity 1)  12 Br 3.64
3 Br 0.0000 0.0000 0.5000 (multiplicity 3)  2 Re 2.57

Summary:
* E_form (uncorrected): 747 meV/atom
* relative energy among the computed polymorphs: 0.00 eV/f.u.
* uncorrected energy: -3.670 eV per atom